Here is a geometry-optimized Ac2Mg3Pb4 structure from Alexandria via LeMat-Bulk. Energies are from PBE.

Unit cell a=6.8013 b=8.9940 c=9.3964 alpha=90.00 beta=111.22 gamma=90.00
Positions (direct):
Mg  0.4655  0.2500  0.4310
Mg  0.5345  0.7500  0.5690
Mg  0.0000  0.0000  0.0000
Mg  0.5000  0.5000  0.0000
Mg  0.0345  0.7500  0.5690
Mg  0.9655  0.2500  0.4310
Pb  0.1853  0.9545  0.3706
Pb  0.8147  0.0455  0.6294
Pb  0.2026  0.7500  0.9052
Pb  0.6853  0.5455  0.3706
Pb  0.3147  0.4545  0.6294
Pb  0.7026  0.7500  0.9052
Pb  0.2974  0.2500  0.0948
Pb  0.7974  0.2500  0.0948
Ac  0.6148  0.9152  0.2295
Ac  0.3852  0.0848  0.7705
Ac  0.8852  0.4152  0.7705
Ac  0.1148  0.5848  0.2295

Properties
- symmetry = Cmce
- formation energy from the elements (eV/atom) = -0.37
- crystal system = orthorhombic

***

Here is a geometry-optimized La7CeNd12 structure from Alexandria via LeMat-Bulk. Energies are from PBE.

Unit cell a=8.9338 b=8.9338 c=8.9338 alpha=90.80 beta=90.80 gamma=90.80
Positions (direct):
La  0.5000  0.5000  0.5000
La  0.0478  0.3263  0.9489
La  0.6737  0.0511  0.9522
La  0.3263  0.9489  0.0478
La  0.0511  0.9522  0.6737
La  0.9489  0.0478  0.3263
La  0.9522  0.6737  0.0511
Nd  0.8751  0.6258  0.5551
Nd  0.5551  0.8751  0.6258
Nd  0.2149  0.7549  0.3612
Nd  0.3612  0.2149  0.7549
Nd  0.7549  0.3612  0.2149
Nd  0.4449  0.1249  0.3742
Nd  0.7851  0.2451  0.6388
Nd  0.6388  0.7851  0.2451
Nd  0.1249  0.3742  0.4449
Nd  0.2451  0.6388  0.7851
Nd  0.6258  0.5551  0.8751
Nd  0.3742  0.4449  0.1249
Ce  0.0000  0.0000  0.0000

Properties
- symmetry = R-3
- formation energy from the elements (eV/atom) = 0.18
- crystal system = trigonal

***

Here is a geometry-optimized MgB2Ir2 structure from Alexandria via LeMat-Bulk. Energies are from PBE.

Unit cell a=6.4263 b=6.4263 c=2.7339 alpha=90.00 beta=90.00 gamma=90.00
Positions (direct):
Ir  0.3457  0.1543  0.5000
Ir  0.8457  0.3457  0.5000
Ir  0.1543  0.6543  0.5000
Ir  0.6543  0.8457  0.5000
B  0.8628  0.6372  0.0000
B  0.6372  0.1372  0.0000
B  0.1372  0.3628  0.0000
B  0.3628  0.8628  0.0000
Mg  0.0000  0.0000  0.0000
Mg  0.5000  0.5000  0.0000

Properties
- symmetry = P4/mbm
- formation energy from the elements (eV/atom) = -0.18
- crystal system = tetragonal

***

Here is a geometry-optimized SiBiMo2Br structure from Alexandria via LeMat-Bulk. Energies are from PBE.

Unit cell a=5.6235 b=5.3300 c=5.6235 alpha=90.00 beta=90.00 gamma=90.00
Positions (direct):
Si  0.0000  0.5000  0.0000
Bi  0.0000  0.0000  0.0000
Br  0.5000  0.5000  0.5000
Mo  0.5000  0.0000  0.0000
Mo  0.0000  0.0000  0.5000

Properties
- raw formation energy (eV/atom) = 1.997
- symmetry = P4/mmm
- crystal system = tetragonal

***

Here is a geometry-optimized AlVRh structure from Alexandria via LeMat-Bulk. Energies are from PBE.

Unit cell a=4.7537 b=4.7801 c=6.9990 alpha=111.42 beta=103.86 gamma=34.72
Positions (direct):
V  0.5935  0.1600  0.4700
V  0.4065  0.8400  0.5300
Al  0.3090  0.4596  0.1222
Al  0.6910  0.5404  0.8778
Rh  0.0280  0.2324  0.2086
Rh  0.9720  0.7676  0.7914

Properties
- symmetry = P-1
- formation energy from the elements (eV/atom) = -0.57
- crystal system = triclinic

***

Here is a geometry-optimized AcPaTe2O structure from Alexandria via LeMat-Bulk. Energies are from PBE.

Unit cell a=4.3123 b=4.3123 c=15.2445 alpha=90.00 beta=90.00 gamma=90.00
Positions (direct):
Te  0.0000  0.5000  0.7106
Te  0.5000  0.0000  0.2894
Te  0.0000  0.5000  0.1150
Te  0.5000  0.0000  0.8850
Pa  0.5000  0.0000  0.0943
Pa  0.0000  0.5000  0.9057
Ac  0.5000  0.0000  0.5822
Ac  0.0000  0.5000  0.4178
O  0.0000  0.0000  0.5000
O  0.5000  0.5000  0.5000

Properties
- raw formation energy (eV/atom) = -1.846
- symmetry = P4/nmm
- crystal system = tetragonal

***

Here is a geometry-optimized KZr2Tl structure from Alexandria via LeMat-Bulk. Energies are from PBE.

Unit cell a=12.3424 b=12.3424 c=12.3424 alpha=15.06 beta=15.06 gamma=15.06
Positions (direct):
K  0.2500  0.2500  0.2500
Zr  0.4879  0.4879  0.4879
Zr  0.0121  0.0121  0.0121
Tl  0.7500  0.7500  0.7500

Properties
- symmetry = R-3m
- formation energy from the elements (eV/atom) = 0.47
- crystal system = trigonal

***

Here is a geometry-optimized ZrBe3Rh structure from Alexandria via LeMat-Bulk. Energies are from PBE.

Unit cell a=4.1117 b=4.1117 c=4.1117 alpha=90.00 beta=90.00 gamma=90.00
Positions (direct):
Be  0.0000  0.0000  0.5000
Be  0.0000  0.5000  0.0000
Be  0.5000  0.0000  0.0000
Zr  0.5000  0.5000  0.5000
Rh  0.0000  0.0000  0.0000

Properties
- symmetry = Pm-3m
- formation energy from the elements (eV/atom) = -0.08
- crystal system = cubic

***

Here is a geometry-optimized TlV2Cd2 structure from Alexandria via LeMat-Bulk. Energies are from PBE.

Unit cell a=3.3185 b=3.3185 c=9.9577 alpha=80.41 beta=80.41 gamma=90.00
Positions (direct):
Cd  0.3765  0.3765  0.2469
Cd  0.6235  0.6235  0.7531
V  0.7500  0.2500  0.5000
V  0.2500  0.7500  0.5000
Tl  0.0000  0.0000  0.0000

Properties
- symmetry = I4/mmm
- formation energy from the elements (eV/atom) = 0.44
- crystal system = tetragonal

***

Here is a geometry-optimized CoSiNi2 structure from Alexandria via LeMat-Bulk. Energies are from PBE.

Unit cell a=4.2757 b=4.2757 c=4.2757 alpha=131.18 beta=131.18 gamma=71.52
Positions (direct):
Ni  0.0000  0.0000  0.0000
Ni  0.5000  0.5000  0.0000
Co  0.7500  0.2500  0.5000
Si  0.2500  0.7500  0.5000

Properties
- raw formation energy (eV/atom) = -0.315
- symmetry = I4/mmm
- crystal system = tetragonal

***

Here is a geometry-optimized Dy5Ho4Er3 structure from Alexandria via LeMat-Bulk. Energies are from PBE.

Unit cell a=7.0426 b=11.1228 c=12.6794 alpha=151.28 beta=56.33 gamma=129.29
Positions (direct):
Dy  0.3335  0.6665  0.8330
Dy  0.5000  0.0000  0.5000
Dy  0.7499  0.4998  0.9998
Dy  0.6665  0.3335  0.1670
Dy  0.2501  0.5002  0.0002
Er  0.4166  0.8333  0.6667
Er  0.0000  0.0000  0.5000
Er  0.5834  0.1667  0.3333
Ho  0.8335  0.6671  0.8335
Ho  0.0834  0.1670  0.3336
Ho  0.1665  0.3329  0.1665
Ho  0.9166  0.8330  0.6664

Properties
- symmetry = P-1
- formation energy from the elements (eV/atom) = 0.02
- crystal system = triclinic

***

Here is a geometry-optimized LiCd5Pd2 structure from Alexandria via LeMat-Bulk. Energies are from PBE.

Unit cell a=3.0372 b=7.4381 c=7.4381 alpha=74.57 beta=78.22 gamma=78.22
Positions (direct):
Pd  0.7549  0.7451  0.7451
Pd  0.2451  0.2549  0.2549
Cd  0.3682  0.3909  0.8726
Cd  0.6318  0.1274  0.6091
Cd  0.0000  0.5000  0.5000
Cd  0.3682  0.8726  0.3909
Cd  0.6318  0.6091  0.1274
Li  0.0000  0.0000  0.0000

Properties
- symmetry = Immm
- formation energy from the elements (eV/atom) = -0.21
- crystal system = orthorhombic

***

Here is a geometry-optimized Ga2PbCl8 structure from Alexandria via LeMat-Bulk. Energies are from PBE.

Unit cell a=8.8168 b=10.3566 c=10.4240 alpha=72.17 beta=64.98 gamma=64.81
Positions (direct):
Cl  0.6242  0.2444  0.4682
Cl  0.2376  0.1961  0.4646
Cl  0.3368  0.2556  0.0318
Cl  0.8668  0.0123  0.7600
Cl  0.8983  0.3039  0.0354
Cl  0.1017  0.6961  0.9646
Cl  0.2653  0.0414  0.8528
Cl  0.1332  0.9877  0.2400
Cl  0.7624  0.8039  0.5354
Cl  0.3758  0.7556  0.5318
Cl  0.6390  0.4877  0.7400
Cl  0.3610  0.5123  0.2600
Cl  0.7347  0.9586  0.1472
Cl  0.1595  0.4586  0.6472
Cl  0.6632  0.7444  0.9682
Cl  0.8405  0.5414  0.3528
Ga  0.8326  0.8487  0.9569
Ga  0.3619  0.3487  0.4569
Ga  0.6381  0.6513  0.5431
Ga  0.1674  0.1513  0.0431
Pb  0.9806  0.2500  0.7500
Pb  0.0194  0.7500  0.2500

Properties
- raw formation energy (eV/atom) = -1.152
- symmetry = C2/c
- crystal system = monoclinic

***

Here is a geometry-optimized ZrNbNi2 structure from Alexandria via LeMat-Bulk. Energies are from PBE.

Unit cell a=3.6157 b=4.1340 c=4.1340 alpha=90.00 beta=90.00 gamma=90.00
Positions (direct):
Nb  0.5000  0.0000  0.0000
Ni  0.0000  0.0000  0.5000
Ni  0.0000  0.5000  0.0000
Zr  0.5000  0.5000  0.5000

Properties
- symmetry = P4/mmm
- formation energy from the elements (eV/atom) = -0.17
- crystal system = tetragonal

***

Here is a geometry-optimized Zr2VCr structure from Alexandria via LeMat-Bulk. Energies are from PBE.

Unit cell a=2.9561 b=2.9561 c=10.1369 alpha=81.62 beta=81.62 gamma=60.00
Positions (direct):
V  0.0000  0.0000  0.0000
Cr  0.5000  0.5000  0.5000
Zr  0.0889  0.0889  0.7334
Zr  0.9111  0.9111  0.2666

Properties
- symmetry = R-3m
- formation energy from the elements (eV/atom) = 0.66
- crystal system = trigonal

***

Here is a geometry-optimized AcTmPdPt structure from Alexandria via LeMat-Bulk. Energies are from PBE.

Unit cell a=5.1467 b=5.1467 c=5.1467 alpha=60.00 beta=60.00 gamma=60.00
Positions (direct):
Pt  0.5000  0.5000  0.5000
Ac  0.7500  0.7500  0.7500
Pd  0.0000  0.0000  0.0000
Tm  0.2500  0.2500  0.2500

Properties
- symmetry = F-43m
- formation energy from the elements (eV/atom) = -0.90
- crystal system = cubic

***

Here is a geometry-optimized MnNb2VH structure from Alexandria via LeMat-Bulk. Energies are from PBE.

Unit cell a=4.4011 b=4.4011 c=3.2682 alpha=90.00 beta=90.00 gamma=90.00
Positions (direct):
Nb  0.0000  0.5000  0.0000
Nb  0.5000  0.0000  0.0000
Mn  0.0000  0.0000  0.5000
V  0.5000  0.5000  0.5000
H  0.0000  0.0000  0.0000

Properties
- symmetry = P4/mmm
- raw total energy (eV per atom) = -8.39
- crystal system = tetragonal

***

Here is a geometry-optimized PmTm3Rh structure from Alexandria via LeMat-Bulk. Energies are from PBE.

Unit cell a=5.3497 b=5.3497 c=5.3497 alpha=90.00 beta=90.00 gamma=90.00
Positions (direct):
Tm  0.0000  0.0000  0.5000
Tm  0.0000  0.5000  0.0000
Tm  0.5000  0.0000  0.0000
Rh  0.0000  0.0000  0.0000
Pm  0.5000  0.5000  0.5000

Properties
- symmetry = Pm-3m
- formation energy from the elements (eV/atom) = -0.29
- crystal system = cubic

***

Here is a geometry-optimized Zn2CoCl structure from Alexandria via LeMat-Bulk. Energies are from PBE.

Unit cell a=2.8620 b=4.1327 c=5.5202 alpha=90.00 beta=90.00 gamma=90.00
Positions (direct):
Cl  0.5000  0.0000  0.5000
Zn  0.5000  0.5000  0.0000
Zn  0.0000  0.0000  0.0000
Co  0.0000  0.5000  0.5000

Properties
- raw formation energy (eV/atom) = 0.303
- symmetry = Pmmm
- crystal system = orthorhombic

***

Here is a geometry-optimized CaZr2 structure from Alexandria via LeMat-Bulk. Energies are from PBE.

Unit cell a=9.4887 b=9.4887 c=5.3521 alpha=90.00 beta=90.00 gamma=160.19
Positions (direct):
Zr  0.4536  0.5464  0.7500
Zr  0.0958  0.9042  0.7500
Zr  0.5464  0.4536  0.2500
Zr  0.9042  0.0958  0.2500
Ca  0.2070  0.7930  0.2500
Ca  0.7930  0.2070  0.7500

Properties
- symmetry = Cmcm
- formation energy from the elements (eV/atom) = 0.19
- crystal system = orthorhombic

***

Here is a geometry-optimized RePt2Br structure from Alexandria via LeMat-Bulk. Energies are from PBE.

Unit cell a=5.7973 b=5.7973 c=5.7973 alpha=151.54 beta=131.66 gamma=57.06
Positions (direct):
Br  0.7500  0.2500  0.5000
Pt  0.4763  0.4763  0.0000
Pt  0.0237  0.0237  0.0000
Re  0.2500  0.7500  0.5000

Properties
- raw formation energy (eV/atom) = 0.744
- symmetry = Immm
- crystal system = orthorhombic

***

no.,magnetization (μB per cell)
1,0.00
2,0.00
3,0.00
4,8.63
5,0.00
6,1.24
7,0.00
8,0.00
9,0.00
10,1.47
11,0.00
12,0.00
13,0.00
14,0.00
15,3.28
16,0.00
17,0.31
18,0.00
19,1.66
20,0.00
21,1.04